No. 1
An optimized crystal structure of PrPd8Au4, computed with GGA-PBE.

```
data_PrPd8Au4
_chemical_formula_sum 'Pr1 Pd8 Au4'
_symmetry_space_group_name_H-M 'P 1'
_symmetry_Int_Tables_number 1
_symmetry_space_group_name_Hall 'P 1'
_cell_length_a 7.0938
_cell_length_b 7.0938
_cell_length_c 7.0938
_cell_angle_alpha 98.51
_cell_angle_beta 98.51
_cell_angle_gamma 134.75
loop_
_atom_site_label
_atom_site_type_symbol
_atom_site_fract_x
_atom_site_fract_y
_atom_site_fract_z
Pr1 Pr 0.0000 0.0000 0.0000
Pd1 Pd 0.0000 0.3512 0.3512
Pd2 Pd 0.0000 0.6488 0.6488
Pd3 Pd 0.2850 0.5000 0.7850
Pd4 Pd 0.3512 0.0000 0.3512
Pd5 Pd 0.5000 0.2850 0.7850
Pd6 Pd 0.5000 0.7150 0.2150
Pd7 Pd 0.6488 0.0000 0.6488
Pd8 Pd 0.7150 0.5000 0.2150
Au1 Au 0.0000 0.0000 0.5000
Au2 Au 0.0000 0.5000 0.0000
Au3 Au 0.5000 0.0000 0.0000
Au4 Au 0.5000 0.5000 0.5000
```

Computed properties:
Formation energy in eV per atom: -0.232
VASP energy in eV per atom: -4.803
DOS at the Fermi energy in states/eV/atom: 1.220
Symmetry: No. 139
Magnetization in μB/f.u.: 0.0



No. 2
An optimized crystal structure of Pr8PdAu2, computed with GGA-PBE.

```
data_Pr8PdAu2
_chemical_formula_sum 'Pr8 Pd1 Au2'
_symmetry_space_group_name_H-M 'P 1'
_symmetry_Int_Tables_number 1
_symmetry_space_group_name_Hall 'P 1'
_cell_length_a 9.5875
_cell_length_b 9.5875
_cell_length_c 7.1141
_cell_angle_alpha 100.61
_cell_angle_beta 100.61
_cell_angle_gamma 31.62
loop_
_atom_site_label
_atom_site_type_symbol
_atom_site_fract_x
_atom_site_fract_y
_atom_site_fract_z
Pr1 Pr 0.0264 0.0264 0.2756
Pr2 Pr 0.2013 0.2013 0.8343
Pr3 Pr 0.3376 0.3376 0.5257
Pr4 Pr 0.4115 0.4115 0.0486
Pr5 Pr 0.5885 0.5885 0.9514
Pr6 Pr 0.6624 0.6624 0.4743
Pr7 Pr 0.7987 0.7987 0.1657
Pr8 Pr 0.9736 0.9736 0.7244
Pd1 Pd 0.5000 0.5000 0.5000
Au1 Au 0.1897 0.1897 0.2475
Au2 Au 0.8103 0.8103 0.7525
```

Computed properties:
Formation energy in eV per atom: -0.395
VASP energy in eV per atom: -4.939
DOS at the Fermi energy in states/eV/atom: 0.963
Symmetry: No. 12
Magnetization in μB/f.u.: 0.0



No. 3
An optimized crystal structure of Pr4PdAu, computed with GGA-PBE.

```
data_Pr4PdAu
_chemical_formula_sum 'Pr8 Pd2 Au2'
_symmetry_space_group_name_H-M 'P 1'
_symmetry_Int_Tables_number 1
_symmetry_space_group_name_Hall 'P 1'
_cell_length_a 7.2744
_cell_length_b 7.2744
_cell_length_c 6.6368
_cell_angle_alpha 90.00
_cell_angle_beta 90.00
_cell_angle_gamma 90.00
loop_
_atom_site_label
_atom_site_type_symbol
_atom_site_fract_x
_atom_site_fract_y
_atom_site_fract_z
Pr1 Pr 0.1695 0.3228 0.0000
Pr2 Pr 0.1695 0.6772 0.5000
Pr3 Pr 0.3228 0.1695 0.5000
Pr4 Pr 0.3228 0.8305 0.0000
Pr5 Pr 0.6772 0.1695 0.0000
Pr6 Pr 0.6772 0.8305 0.5000
Pr7 Pr 0.8305 0.3228 0.5000
Pr8 Pr 0.8305 0.6772 0.0000
Pd1 Pd 0.0000 0.0000 0.2500
Pd2 Pd 0.0000 0.0000 0.7500
Au1 Au 0.5000 0.5000 0.2500
Au2 Au 0.5000 0.5000 0.7500
```

Computed properties:
Formation energy in eV per atom: -0.483
VASP energy in eV per atom: -5.081
DOS at the Fermi energy in states/eV/atom: 1.320
Symmetry: No. 124
Magnetization in μB/f.u.: 0.0



No. 4
An optimized crystal structure of Pr3Pd6Au2, computed with GGA-PBE.

```
data_Pr3Pd6Au2
_chemical_formula_sum 'Pr6 Pd12 Au4'
_symmetry_space_group_name_H-M 'P 1'
_symmetry_Int_Tables_number 1
_symmetry_space_group_name_Hall 'P 1'
_cell_length_a 8.4741
_cell_length_b 8.4741
_cell_length_c 8.4741
_cell_angle_alpha 109.47
_cell_angle_beta 109.47
_cell_angle_gamma 109.47
loop_
_atom_site_label
_atom_site_type_symbol
_atom_site_fract_x
_atom_site_fract_y
_atom_site_fract_z
Pr1 Pr 0.0000 0.2959 0.2959
Pr2 Pr 0.0000 0.7041 0.7041
Pr3 Pr 0.2959 0.0000 0.2959
Pr4 Pr 0.2959 0.2959 0.0000
Pr5 Pr 0.7041 0.0000 0.7041
Pr6 Pr 0.7041 0.7041 0.0000
Pd1 Pd 0.0000 0.3452 0.6548
Pd2 Pd 0.0000 0.6548 0.3452
Pd3 Pd 0.3096 0.6548 0.6548
Pd4 Pd 0.3452 0.0000 0.6548
Pd5 Pd 0.3452 0.3452 0.6904
Pd6 Pd 0.3452 0.6548 0.0000
Pd7 Pd 0.3452 0.6904 0.3452
Pd8 Pd 0.6548 0.0000 0.3452
Pd9 Pd 0.6548 0.3096 0.6548
Pd10 Pd 0.6548 0.3452 0.0000
Pd11 Pd 0.6548 0.6548 0.3096
Pd12 Pd 0.6904 0.3452 0.3452
Au1 Au 0.0000 0.0000 0.5000
Au2 Au 0.0000 0.5000 0.0000
Au3 Au 0.5000 0.0000 0.0000
Au4 Au 0.5000 0.5000 0.5000
```

Computed properties:
Formation energy in eV per atom: -0.692
VASP energy in eV per atom: -5.424
DOS at the Fermi energy in states/eV/atom: 0.355
Symmetry: No. 229
Magnetization in μB/f.u.: 0.0